This record from Alexandria via LeMat-Bulk describes Mn3NbS after structural relaxation. The functional is GGA-PBE.

Structure (CIF):
```
data_Mn3NbS
_chemical_formula_sum 'Mn3 Nb1 S1'
_cell_length_a 4.7308
_cell_length_b 4.7308
_cell_length_c 4.7308
_cell_angle_alpha 90.00
_cell_angle_beta 90.00
_cell_angle_gamma 90.00
_symmetry_space_group_name_H-M 'P m -3 m'
_symmetry_Int_Tables_number 221
_symmetry_space_group_name_Hall '-P 4 2 3'
loop_
_atom_site_label
_atom_site_type_symbol
_atom_site_fract_x
_atom_site_fract_y
_atom_site_fract_z
_atom_site_occupancy
Mn1 Mn 0.0000 0.0000 0.5000 1
Nb1 Nb 0.0000 0.0000 0.0000 1
S1 S 0.5000 0.5000 0.5000 1
```

Properties
Crystal system   cubic
Final energy   -6.909 eV/atom

=====

This record from Alexandria via LeMat-Bulk describes MnNb3S after structural relaxation. The functional is GGA-PBE.

Structure (CIF):
```
data_MnNb3S
_chemical_formula_sum 'Mn1 Nb3 S1'
_cell_length_a 4.5219
_cell_length_b 4.5219
_cell_length_c 4.5219
_cell_angle_alpha 90.00
_cell_angle_beta 90.00
_cell_angle_gamma 90.00
_symmetry_space_group_name_H-M 'P m -3 m'
_symmetry_Int_Tables_number 221
_symmetry_space_group_name_Hall '-P 4 2 3'
loop_
_atom_site_label
_atom_site_type_symbol
_atom_site_fract_x
_atom_site_fract_y
_atom_site_fract_z
_atom_site_occupancy
Mn1 Mn 0.0000 0.0000 0.0000 1
Nb1 Nb 0.0000 0.5000 0.5000 1
S1 S 0.5000 0.5000 0.5000 1
```

Properties
Crystal system   cubic
Final energy   -8.149 eV/atom

=====

This record from Alexandria via LeMat-Bulk describes Mn2NbS6 after structural relaxation. The functional is GGA-PBE.

Structure (CIF):
```
data_Mn2NbS6
_chemical_formula_sum 'Mn4 Nb2 S12'
_cell_length_a 15.4629
_cell_length_b 3.3486
_cell_length_c 7.9134
_cell_angle_alpha 90.00
_cell_angle_beta 113.77
_cell_angle_gamma 90.00
_symmetry_space_group_name_H-M 'C 1 2/m 1'
_symmetry_Int_Tables_number 12
loop_
_symmetry_equiv_pos_as_xyz
'x,y,z'
'-x,-y,-z'
'-x,y,-z'
'x,-y,z'
'x+1/2,y+1/2,z'
'-x+1/2,-y+1/2,-z'
'-x+1/2,y+1/2,-z'
'x+1/2,-y+1/2,z'
loop_
_atom_site_label
_atom_site_type_symbol
_atom_site_fract_x
_atom_site_fract_y
_atom_site_fract_z
_atom_site_occupancy
Mn1 Mn 0.1647 0.0000 0.3279 1
Nb1 Nb 0.0000 0.5000 0.0000 1
S1 S 0.9995 0.0000 0.2306 1
S2 S 0.1711 0.5000 0.5372 1
S3 S 0.1746 0.5000 0.1277 1
```

Properties
Crystal system   monoclinic
Final energy   -6.595 eV/atom

=====

This record from Alexandria via LeMat-Bulk describes MnNb6S8 after structural relaxation. The functional is GGA-PBE.

Structure (CIF):
```
data_MnNb6S8
_chemical_formula_sum 'Mn3 Nb18 S24'
_cell_length_a 9.6774
_cell_length_b 9.6774
_cell_length_c 11.1274
_cell_angle_alpha 90.00
_cell_angle_beta 90.00
_cell_angle_gamma 120.00
_symmetry_space_group_name_H-M 'R -3'
_symmetry_Int_Tables_number 148
_symmetry_space_group_name_Hall '-R 3'
loop_
_atom_site_label
_atom_site_type_symbol
_atom_site_fract_x
_atom_site_fract_y
_atom_site_fract_z
_atom_site_occupancy
Mn1 Mn 0.0000 0.0000 0.0000 1
Nb1 Nb 0.0179 0.1799 0.3824 1
S1 S 0.0000 0.0000 0.2100 1
S2 S 0.0237 0.3849 0.2448 1
```

Properties
Crystal system   trigonal
Final energy   -7.676 eV/atom

=====

This record from Alexandria via LeMat-Bulk describes MnNb2S after structural relaxation. The functional is GGA-PBE.

Structure (CIF):
```
data_MnNb2S
_chemical_formula_sum 'Mn4 Nb8 S4'
_cell_length_a 5.1419
_cell_length_b 5.1419
_cell_length_c 12.4409
_cell_angle_alpha 90.00
_cell_angle_beta 90.00
_cell_angle_gamma 90.00
_symmetry_space_group_name_H-M 'I -4 2 d'
_symmetry_Int_Tables_number 122
_symmetry_space_group_name_Hall 'I -4 2bw'
loop_
_atom_site_label
_atom_site_type_symbol
_atom_site_fract_x
_atom_site_fract_y
_atom_site_fract_z
_atom_site_occupancy
Mn1 Mn 0.0000 0.0000 0.0000 1
Nb1 Nb 0.2353 0.2500 0.1250 1
S1 S 0.0000 0.0000 0.5000 1
```

Properties
Crystal system   tetragonal
Final energy   -7.831 eV/atom

=====

This record from Alexandria via LeMat-Bulk describes Mn3NbS after structural relaxation. The functional is GGA-PBE.

Structure (CIF):
```
data_Mn3NbS
_chemical_formula_sum 'Mn3 Nb1 S1'
_cell_length_a 4.0721
_cell_length_b 4.0721
_cell_length_c 4.0721
_cell_angle_alpha 90.00
_cell_angle_beta 90.00
_cell_angle_gamma 90.00
_symmetry_space_group_name_H-M 'P m -3 m'
_symmetry_Int_Tables_number 221
_symmetry_space_group_name_Hall '-P 4 2 3'
loop_
_atom_site_label
_atom_site_type_symbol
_atom_site_fract_x
_atom_site_fract_y
_atom_site_fract_z
_atom_site_occupancy
Mn1 Mn 0.0000 0.0000 0.5000 1
Nb1 Nb 0.5000 0.5000 0.5000 1
S1 S 0.0000 0.0000 0.0000 1
```

Properties
Crystal system   cubic
Final energy   -8.101 eV/atom

=====

This record from Alexandria via LeMat-Bulk describes MnNb2S6 after structural relaxation. The functional is GGA-PBE.

Structure (CIF):
```
data_MnNb2S6
_chemical_formula_sum 'Mn2 Nb4 S12'
_cell_length_a 5.8678
_cell_length_b 5.8678
_cell_length_c 10.2946
_cell_angle_alpha 90.00
_cell_angle_beta 90.00
_cell_angle_gamma 90.00
_symmetry_space_group_name_H-M 'P 42/m n m'
_symmetry_Int_Tables_number 136
_symmetry_space_group_name_Hall '-P 4n 2n'
loop_
_atom_site_label
_atom_site_type_symbol
_atom_site_fract_x
_atom_site_fract_y
_atom_site_fract_z
_atom_site_occupancy
Mn1 Mn 0.0000 0.0000 0.0000 1
Nb1 Nb 0.0000 0.0000 0.3465 1
S1 S 0.1932 0.1932 0.1639 1
S2 S 0.2152 0.2152 0.5000 1
```

Properties
Crystal system   tetragonal
Final energy   -6.726 eV/atom

=====

This record from Alexandria via LeMat-Bulk describes MnNb3S8 after structural relaxation. The functional is GGA-PBE.

Structure (CIF):
```
data_MnNb3S8
_chemical_formula_sum 'Mn2 Nb6 S16'
_cell_length_a 6.8726
_cell_length_b 6.8726
_cell_length_c 11.5285
_cell_angle_alpha 90.00
_cell_angle_beta 90.00
_cell_angle_gamma 120.00
_symmetry_space_group_name_H-M 'P 63 m c'
_symmetry_Int_Tables_number 186
_symmetry_space_group_name_Hall 'P 6c -2c'
loop_
_atom_site_label
_atom_site_type_symbol
_atom_site_fract_x
_atom_site_fract_y
_atom_site_fract_z
_atom_site_occupancy
Mn1 Mn 0.3333 0.6667 0.0000 1
Nb1 Nb 0.1645 0.3290 0.7494 1
S1 S 0.0000 0.0000 0.3824 1
S2 S 0.0105 0.5052 0.8866 1
S3 S 0.1737 0.3475 0.1320 1
S4 S 0.3333 0.6667 0.6214 1
```

Properties
Crystal system   hexagonal
Final energy   -6.853 eV/atom

=====

This record from Alexandria via LeMat-Bulk describes MnNb3S after structural relaxation. The functional is GGA-PBE.

Structure (CIF):
```
data_MnNb3S
_chemical_formula_sum 'Mn1 Nb3 S1'
_cell_length_a 4.6111
_cell_length_b 4.6111
_cell_length_c 4.6111
_cell_angle_alpha 90.00
_cell_angle_beta 90.00
_cell_angle_gamma 90.00
_symmetry_space_group_name_H-M 'P m -3 m'
_symmetry_Int_Tables_number 221
_symmetry_space_group_name_Hall '-P 4 2 3'
loop_
_atom_site_label
_atom_site_type_symbol
_atom_site_fract_x
_atom_site_fract_y
_atom_site_fract_z
_atom_site_occupancy
Mn1 Mn 0.0000 0.0000 0.0000 1
Nb1 Nb 0.0000 0.0000 0.5000 1
S1 S 0.5000 0.5000 0.5000 1
```

Properties
Crystal system   cubic
Final energy   -7.869 eV/atom

=====

This record from Alexandria via LeMat-Bulk describes MnNb2S after structural relaxation. The functional is GGA-PBE.

Structure (CIF):
```
data_MnNb2S
_chemical_formula_sum 'Mn3 Nb6 S3'
_cell_length_a 2.9824
_cell_length_b 2.9824
_cell_length_c 26.5736
_cell_angle_alpha 90.00
_cell_angle_beta 90.00
_cell_angle_gamma 120.00
_symmetry_space_group_name_H-M 'R -3 m'
_symmetry_Int_Tables_number 166
_symmetry_space_group_name_Hall '-R 3 2"'
loop_
_atom_site_label
_atom_site_type_symbol
_atom_site_fract_x
_atom_site_fract_y
_atom_site_fract_z
_atom_site_occupancy
Mn1 Mn 0.0000 0.0000 0.0000 1
Nb1 Nb 0.0000 0.0000 0.0951 1
S1 S 0.0000 0.0000 0.5000 1
```

Properties
Crystal system   trigonal
Final energy   -8.132 eV/atom

=====

This record from Alexandria via LeMat-Bulk describes MnNbS after structural relaxation. The functional is GGA-PBE.

Structure (CIF):
```
data_MnNbS
_chemical_formula_sum 'Mn4 Nb4 S4'
_cell_length_a 7.4409
_cell_length_b 7.4409
_cell_length_c 3.4782
_cell_angle_alpha 90.00
_cell_angle_beta 90.00
_cell_angle_gamma 90.00
_symmetry_space_group_name_H-M 'P 42/m'
_symmetry_Int_Tables_number 84
loop_
_symmetry_equiv_pos_as_xyz
'x,y,z'
'-x,-y,-z'
'-y,x,z+1/2'
'y,-x,-z+1/2'
'-x,-y,z'
'x,y,-z'
'y,-x,z+1/2'
'-y,x,-z+1/2'
loop_
_atom_site_label
_atom_site_type_symbol
_atom_site_fract_x
_atom_site_fract_y
_atom_site_fract_z
_atom_site_occupancy
Mn1 Mn 0.0713 0.7661 0.0000 1
Nb1 Nb 0.1716 0.4623 0.5000 1
S1 S 0.2187 0.2330 0.0000 1
```

Properties
Crystal system   tetragonal
Final energy   -7.950 eV/atom

=====

This record from Alexandria via LeMat-Bulk describes MnNb2Se2S4 after structural relaxation. The functional is GGA-PBE.

Structure (CIF):
```
data_MnNb2Se2S4
_chemical_formula_sum 'Mn1 Nb2 Se2 S4'
_cell_length_a 3.3337
_cell_length_b 3.3337
_cell_length_c 20.3537
_cell_angle_alpha 90.00
_cell_angle_beta 90.00
_cell_angle_gamma 120.00
_symmetry_space_group_name_H-M 'P 3 m 1'
_symmetry_Int_Tables_number 156
loop_
_symmetry_equiv_pos_as_xyz
'x,y,z'
'-y,x-y,z'
'-x+y,-x,z'
'-y,-x,z'
'-x+y,y,z'
'x,x-y,z'
loop_
_atom_site_label
_atom_site_type_symbol
_atom_site_fract_x
_atom_site_fract_y
_atom_site_fract_z
_atom_site_occupancy
Mn1 Mn 0.0000 0.0000 0.0000 1
Nb1 Nb 0.0000 0.0000 0.6503 1
Nb2 Nb 0.6667 0.3333 0.3206 1
Se1 Se 0.6667 0.3333 0.0734 1
Se2 Se 0.6667 0.3333 0.9266 1
S1 S 0.0000 0.0000 0.2432 1
S2 S 0.0000 0.0000 0.3978 1
S3 S 0.6667 0.3333 0.5731 1
S4 S 0.6667 0.3333 0.7277 1
```

Properties
Crystal system   trigonal
Final energy   -6.663 eV/atom